(1)
Here is a geometry-optimized NdHf2Se structure from the Alexandria database. Energies are from PBE.

a = 3.326 Å, b = 3.326 Å, c = 10.397 Å
α = 80.80°, β = 80.80°, γ = 60.00°
Element x y z (fractional)
Se 0.500 0.500 0.500
Hf 0.897 0.897 0.309
Hf 0.103 0.103 0.691
Nd 0.000 0.000 0.000

Results
Space-group type: R-3m, No. 166
Formation energy without anion corrections in eV per atom: -0.07

***

(2)
Here is a geometry-optimized Nd3HfSe6 structure from the Alexandria database. Energies are from PBE.

a = 7.065 Å, b = 9.181 Å, c = 9.181 Å
α = 102.09°, β = 90.00°, γ = 90.00°
Element x y z (fractional)
Se 0.686 0.632 0.695
Se 0.700 0.565 0.101
Se 0.168 0.032 0.968
Se 0.166 0.775 0.225
Se 0.186 0.368 0.305
Se 0.200 0.435 0.899
Se 0.666 0.225 0.775
Se 0.186 0.695 0.632
Se 0.686 0.305 0.368
Se 0.700 0.899 0.435
Se 0.668 0.968 0.032
Se 0.200 0.101 0.565
Nd 0.391 0.407 0.593
Nd 0.483 0.917 0.728
Nd 0.983 0.728 0.917
Nd 0.891 0.593 0.407
Nd 0.983 0.083 0.272
Nd 0.483 0.272 0.083
Hf 0.023 0.197 0.803
Hf 0.523 0.803 0.197

Results
Space-group type: Cmc2_1, No. 36
Formation energy without anion corrections in eV per atom: -1.63

***

(3)
Here is a geometry-optimized Nd2HfSe5 structure from the Alexandria database. Energies are from PBE.

a = 5.543 Å, b = 7.624 Å, c = 13.546 Å
α = 90.00°, β = 90.00°, γ = 111.32°
Element x y z (fractional)
Se 0.697 0.393 0.591
Se 0.048 0.097 0.124
Se 0.303 0.607 0.409
Se 0.048 0.097 0.376
Se 0.952 0.903 0.876
Se 0.274 0.548 0.750
Se 0.303 0.607 0.091
Se 0.952 0.903 0.624
Se 0.697 0.393 0.909
Se 0.726 0.452 0.250
Hf 0.814 0.628 0.750
Hf 0.186 0.372 0.250
Nd 0.854 0.708 0.063
Nd 0.146 0.292 0.563
Nd 0.146 0.292 0.937
Nd 0.854 0.708 0.437

Results
Space-group type: Cmcm, No. 63
Polymorph energy (0 for the lowest one) in meV per atom: 117
Formation energy without anion corrections in eV per atom: -1.57

***

(4)
Here is a geometry-optimized Nd2HfSe5 structure from the Alexandria database. Energies are from PBE.

a = 7.749 Å, b = 8.328 Å, c = 12.210 Å
α = 90.00°, β = 90.00°, γ = 90.00°
Element x y z (fractional)
Nd 0.967 0.503 0.677
Nd 0.033 0.003 0.323
Nd 0.467 0.497 0.823
Nd 0.467 0.003 0.823
Nd 0.533 0.997 0.177
Nd 0.967 0.997 0.677
Nd 0.033 0.497 0.323
Nd 0.533 0.503 0.177
Se 0.835 0.037 0.914
Se 0.665 0.037 0.414
Se 0.659 0.250 0.682
Se 0.443 0.250 0.005
Se 0.159 0.750 0.818
Se 0.943 0.750 0.495
Se 0.341 0.750 0.318
Se 0.679 0.750 0.706
Se 0.321 0.250 0.294
Se 0.821 0.750 0.206
Se 0.841 0.250 0.182
Se 0.165 0.537 0.086
Se 0.165 0.963 0.086
Se 0.335 0.537 0.586
Se 0.057 0.250 0.505
Se 0.665 0.463 0.414
Se 0.179 0.250 0.794
Se 0.557 0.750 0.995
Se 0.335 0.963 0.586
Se 0.835 0.463 0.914
Hf 0.076 0.250 0.007
Hf 0.924 0.750 0.993
Hf 0.576 0.750 0.493
Hf 0.424 0.250 0.507

Results
Space-group type: Pnma, No. 62
Polymorph energy (0 for the lowest one) in meV per atom: 0
Formation energy without anion corrections in eV per atom: -1.69

***

(5)
Here is a geometry-optimized Nd3HfTl4Se8 structure from the Alexandria database. Energies are from PBE.

a = 8.402 Å, b = 9.204 Å, c = 8.402 Å
α = 117.20°, β = 120.00°, γ = 90.00°
Element x y z (fractional)
Hf 0.000 0.500 0.000
Tl 0.500 0.000 0.000
Tl 0.000 0.000 0.000
Tl 0.000 0.000 0.500
Tl 0.500 0.000 0.500
Nd 0.000 0.500 0.500
Nd 0.500 0.500 0.500
Nd 0.500 0.500 0.000
Se 0.739 0.717 0.478
Se 0.222 0.704 0.983
Se 0.238 0.296 0.017
Se 0.261 0.283 0.522
Se 0.222 0.704 0.443
Se 0.778 0.296 0.017
Se 0.762 0.704 0.983
Se 0.778 0.296 0.557

Results
Space-group type: R-3m, No. 166
Formation energy without anion corrections in eV per atom: -1.24

***

(6)
Here is a geometry-optimized Nd2HfTl3Se6 structure from the Alexandria database. Energies are from PBE.

a = 7.204 Å, b = 7.204 Å, c = 8.176 Å
α = 98.47°, β = 98.47°, γ = 119.89°
Element x y z (fractional)
Se 0.374 0.068 0.205
Se 0.765 0.765 0.212
Se 0.068 0.374 0.205
Se 0.235 0.235 0.788
Se 0.932 0.626 0.795
Se 0.626 0.932 0.795
Nd 0.334 0.666 0.000
Nd 0.666 0.334 0.000
Tl 0.500 0.500 0.500
Tl 0.173 0.827 0.500
Tl 0.827 0.173 0.500
Hf 0.000 0.000 0.000

Results
Space-group type: C2/m, No. 12
Formation energy without anion corrections in eV per atom: -1.20

***

(7)
Here is a geometry-optimized NdSm2Hf structure from the Alexandria database. Energies are from PBE.

a = 4.960 Å, b = 4.936 Å, c = 4.936 Å
α = 90.00°, β = 90.00°, γ = 90.00°
Element x y z (fractional)
Sm 0.000 0.500 0.000
Sm 0.000 0.000 0.500
Nd 0.500 0.500 0.500
Hf 0.500 0.000 0.000

Results
Space-group type: P4/mmm, No. 123
Polymorph energy (0 for the lowest one) in meV per atom: 0

***

(8)
Here is a geometry-optimized NdSm2Hf structure from the Alexandria database. Energies are from PBE.

a = 3.393 Å, b = 3.393 Å, c = 12.413 Å
α = 82.14°, β = 82.14°, γ = 60.00°
Element x y z (fractional)
Hf 0.000 0.000 0.000
Sm 0.084 0.084 0.747
Sm 0.916 0.916 0.253
Nd 0.500 0.500 0.500

Results
Space-group type: R-3m, No. 166
Polymorph energy (0 for the lowest one) in meV per atom: 219

***

(9)
Here is a geometry-optimized NdSm2Hf structure from the Alexandria database. Energies are from PBE.

a = 4.044 Å, b = 4.044 Å, c = 7.480 Å
α = 90.00°, β = 90.00°, γ = 90.00°
Element x y z (fractional)
Hf 0.500 0.500 0.000
Sm 0.000 0.000 0.216
Sm 0.000 0.000 0.784
Nd 0.500 0.500 0.500

Results
Space-group type: P4/mmm, No. 123
Polymorph energy (0 for the lowest one) in meV per atom: 53

***

(10)
Here is a geometry-optimized NdHfSn structure from the Alexandria database. Energies are from PBE.

a = 4.434 Å, b = 4.434 Å, c = 8.399 Å
α = 90.00°, β = 90.00°, γ = 90.00°
Element x y z (fractional)
Nd 0.000 0.500 0.842
Nd 0.500 0.000 0.158
Hf 0.000 0.000 0.500
Hf 0.500 0.500 0.500
Sn 0.000 0.500 0.247
Sn 0.500 0.000 0.753

Results
Space-group type: P4/nmm, No. 129
Polymorph energy (0 for the lowest one) in meV per atom: 0

***

(11)
Here is a geometry-optimized NdHfSn structure from the Alexandria database. Energies are from PBE.

a = 4.402 Å, b = 4.402 Å, c = 9.031 Å
α = 104.11°, β = 104.11°, γ = 90.00°
Last column: magnetic moment on the atom in μB.
Element x y z (fractional)
Sn 0.875 0.875 0.749  -0.01
Sn 0.125 0.125 0.251  -0.01
Nd 0.325 0.325 0.649  0.21
Nd 0.675 0.675 0.351  0.21
Hf 0.500 0.000 0.000  0.24
Hf 0.000 0.500 0.000  0.24

Results
Space-group type: I4/mmm, No. 139
Polymorph energy (0 for the lowest one) in meV per atom: 19

***

(12)
Here is a geometry-optimized Nd6HfSn10 structure from the Alexandria database. Energies are from PBE.

a = 6.307 Å, b = 9.402 Å, c = 9.402 Å
α = 120.00°, β = 90.00°, γ = 90.00°
Element x y z (fractional)
Sn 0.799 0.763 0.763
Sn 0.201 0.763 0.000
Sn 0.201 0.000 0.763
Sn 0.799 0.000 0.237
Sn 0.799 0.237 0.000
Sn 0.201 0.237 0.237
Sn 0.500 0.333 0.667
Sn 0.500 0.667 0.333
Sn 0.000 0.667 0.333
Sn 0.000 0.333 0.667
Nd 0.261 0.388 0.000
Nd 0.739 0.612 0.000
Nd 0.739 0.000 0.612
Nd 0.261 0.000 0.388
Nd 0.739 0.388 0.388
Nd 0.261 0.612 0.612
Hf 0.500 0.000 0.000

Results
Space-group type: P-31m, No. 162

***

VASP energy values (in eV per atom) by entry order: -7.11, -6.15, -6.18, -6.30, -5.09, -5.16, -5.86, -5.64, -5.81, -6.74, -6.72, -5.16.